No. 1
# PBE-GGA TbPu2Th, relaxed
data_TbPu2Th
_chemical_formula_sum 'Tb1 Pu2 Th1'
_symmetry_space_group_name_H-M 'P 4/m m m'
_symmetry_Int_Tables_number 123
_symmetry_space_group_name_Hall '-P 4 2'
_cell_length_a 3.487
_cell_length_b 3.487
_cell_length_c 9.579
_cell_angle_alpha 90.00
_cell_angle_beta 90.00
_cell_angle_gamma 90.00
loop_
_atom_site_label
_atom_site_fract_x
_atom_site_fract_y
_atom_site_fract_z
Tb1 0.000 0.000 0.000
Pu1 0.500 0.500 0.259
Th1 0.000 0.000 0.500
# Energy relative to the elements, eV/atom: 0.17
# ΔE to the lowest computed polymorph, kJ/mol of atoms: 0.0



No. 2
# PBE-GGA Ho2TmNi, relaxed
data_Ho2TmNi
_chemical_formula_sum 'Ho8 Tm4 Ni4'
_symmetry_space_group_name_H-M 'P n m a'
_symmetry_Int_Tables_number 62
_symmetry_space_group_name_Hall '-P 2ac 2n'
_cell_length_a 6.781
_cell_length_b 9.486
_cell_length_c 6.268
_cell_angle_alpha 90.00
_cell_angle_beta 90.00
_cell_angle_gamma 90.00
loop_
_atom_site_label
_atom_site_fract_x
_atom_site_fract_y
_atom_site_fract_z
Ho1 0.180 0.065 0.179
Tm1 0.034 0.250 0.639
Ni1 0.108 0.750 0.950
# Energy relative to the elements, eV/atom: -0.26
# ΔE to the lowest computed polymorph, kJ/mol of atoms: 0.0



No. 3
# PBE-GGA HOsNO, relaxed
data_HOsNO
_chemical_formula_sum 'H2 Os2 N2 O2'
_symmetry_space_group_name_H-M 'C 1 m 1'
_symmetry_Int_Tables_number 8
_symmetry_space_group_name_Hall 'C -2y'
_cell_length_a 5.861
_cell_length_b 2.734
_cell_length_c 5.427
_cell_angle_alpha 90.00
_cell_angle_beta 114.23
_cell_angle_gamma 90.00
loop_
_atom_site_label
_atom_site_fract_x
_atom_site_fract_y
_atom_site_fract_z
H1 0.000 0.000 0.000
Os1 0.465 0.000 0.415
N1 0.086 0.000 0.211
O1 0.352 0.500 0.631
# ΔE to the lowest computed polymorph, kJ/mol of atoms: 0.0



No. 4
# PBE-GGA LiTaZn3, relaxed
data_LiTaZn3
_chemical_formula_sum 'Li1 Ta1 Zn3'
_symmetry_space_group_name_H-M 'P m -3 m'
_symmetry_Int_Tables_number 221
_symmetry_space_group_name_Hall '-P 4 2 3'
_cell_length_a 5.102
_cell_length_b 5.102
_cell_length_c 5.102
_cell_angle_alpha 90.00
_cell_angle_beta 90.00
_cell_angle_gamma 90.00
loop_
_atom_site_label
_atom_site_fract_x
_atom_site_fract_y
_atom_site_fract_z
Li1 0.000 0.000 0.000
Ta1 0.500 0.500 0.500
Zn1 0.000 0.500 0.500
# Energy relative to the elements, eV/atom: 0.88
# ΔE to the lowest computed polymorph, kJ/mol of atoms: 38.6



No. 5
# PBE-GGA LaCd2Br, relaxed
data_LaCd2Br
_chemical_formula_sum 'La2 Cd4 Br2'
_symmetry_space_group_name_H-M 'I -4 m 2'
_symmetry_Int_Tables_number 119
_symmetry_space_group_name_Hall 'I -4 -2'
_cell_length_a 4.902
_cell_length_b 4.902
_cell_length_c 9.162
_cell_angle_alpha 90.00
_cell_angle_beta 90.00
_cell_angle_gamma 90.00
loop_
_atom_site_label
_atom_site_fract_x
_atom_site_fract_y
_atom_site_fract_z
La1 0.000 0.000 0.000
Cd1 0.000 0.000 0.500
Cd2 0.000 0.500 0.250
Br1 0.000 0.500 0.750
# Uncorrected formation energy, meV per atom: -525
# ΔE to the lowest computed polymorph, kJ/mol of atoms: 8.4



No. 6
# PBE-GGA HfGe3F, relaxed
data_HfGe3F
_chemical_formula_sum 'Hf1 Ge3 F1'
_symmetry_space_group_name_H-M 'P m -3 m'
_symmetry_Int_Tables_number 221
_symmetry_space_group_name_Hall '-P 4 2 3'
_cell_length_a 5.196
_cell_length_b 5.196
_cell_length_c 5.196
_cell_angle_alpha 90.00
_cell_angle_beta 90.00
_cell_angle_gamma 90.00
loop_
_atom_site_label
_atom_site_fract_x
_atom_site_fract_y
_atom_site_fract_z
Hf1 0.000 0.000 0.000
Ge1 0.000 0.000 0.500
F1 0.500 0.500 0.500
# Uncorrected formation energy, meV per atom: 291
# ΔE to the lowest computed polymorph, kJ/mol of atoms: 48.3



No. 7
# PBE-GGA Ac8Hg4PIr3, relaxed
data_Ac8Hg4PIr3
_chemical_formula_sum 'Ac24 Hg12 P3 Ir9'
_symmetry_space_group_name_H-M 'R -3 m'
_symmetry_Int_Tables_number 166
_symmetry_space_group_name_Hall '-R 3 2"'
_cell_length_a 8.7987
_cell_length_b 8.7987
_cell_length_c 24.3292
_cell_angle_alpha 90.00
_cell_angle_beta 90.00
_cell_angle_gamma 120.00
loop_
_atom_site_label
_atom_site_fract_x
_atom_site_fract_y
_atom_site_fract_z
Ac1 0.0000 0.0000 0.2340
Ac2 0.0085 0.5042 0.7661
Hg1 0.0000 0.0000 0.0000
Hg2 0.0000 0.5000 0.0000
P1 0.0000 0.0000 0.5000
Ir1 0.0000 0.5000 0.5000
# Energy relative to the elements, eV/atom: -0.66



No. 8
# PBE-GGA HfGaFe2Pb, relaxed
data_HfGaFe2Pb
_chemical_formula_sum 'Hf1 Ga1 Fe2 Pb1'
_symmetry_space_group_name_H-M 'P 4/m m m'
_symmetry_Int_Tables_number 123
_symmetry_space_group_name_Hall '-P 4 2'
_cell_length_a 4.825
_cell_length_b 4.825
_cell_length_c 5.446
_cell_angle_alpha 90.00
_cell_angle_beta 90.00
_cell_angle_gamma 90.00
loop_
_atom_site_label
_atom_site_fract_x
_atom_site_fract_y
_atom_site_fract_z
Hf1 0.000 0.000 0.000
Ga1 0.500 0.500 0.000
Fe1 0.000 0.500 0.500
Pb1 0.000 0.000 0.500
# Energy relative to the elements, eV/atom: 1.43



No. 9
# PBE-GGA Tb4InTe2As, relaxed
data_Tb4InTe2As
_chemical_formula_sum 'Tb4 In1 Te2 As1'
_symmetry_space_group_name_H-M 'P 1 2/m 1'
_symmetry_Int_Tables_number 10
_symmetry_space_group_name_Hall '-P 2y'
_cell_length_a 7.563
_cell_length_b 4.233
_cell_length_c 7.571
_cell_angle_alpha 90.00
_cell_angle_beta 108.49
_cell_angle_gamma 90.00
loop_
_atom_site_label
_atom_site_fract_x
_atom_site_fract_y
_atom_site_fract_z
Tb1 0.234 0.000 0.225
Tb2 0.246 0.500 0.762
In1 0.500 0.000 0.000
Te1 0.000 0.000 0.500
Te2 0.500 0.500 0.500
As1 0.000 0.500 0.000
# Uncorrected formation energy, meV per atom: -1153



No. 10
# PBE-GGA Y2Ga3SnIr4, relaxed
data_Y2Ga3SnIr4
_chemical_formula_sum 'Y2 Ga3 Sn1 Ir4'
_symmetry_space_group_name_H-M 'P -4 m 2'
_symmetry_Int_Tables_number 115
_symmetry_space_group_name_Hall 'P -4 -2'
_cell_length_a 4.284
_cell_length_b 4.284
_cell_length_c 10.451
_cell_angle_alpha 90.00
_cell_angle_beta 90.00
_cell_angle_gamma 90.00
loop_
_atom_site_label
_atom_site_fract_x
_atom_site_fract_y
_atom_site_fract_z
Y1 0.000 0.500 0.225
Ga1 0.000 0.500 0.877
Ga2 0.500 0.500 0.500
Sn1 0.000 0.000 0.500
Ir1 0.000 0.000 0.000
Ir2 0.000 0.500 0.643
Ir3 0.500 0.500 0.000
# Energy relative to the elements, eV/atom: -0.66



Total DFT energy (no corrections) per entry: -10.01 -5.12 -7.16 -2.63 -2.63 -4.84 -4.79 -5.29 -5.18 -6.81 eV/atom
DOS at the Fermi energy per entry: 12.9 16.8 3.0 5.6 4.8 4.9 43.9 7.9 2.6 4.6 states/eV per cell